# 1
A relaxed TaNi2Br crystal, computed with PBE.

Computed properties:
Volume in Å³ per cell: 116.7
Space-group type: I-4m2
E_form (uncorrected) in eV per atom: 0.494

abc: 4.3599 4.3599 6.1391
angles: 90.00 90.00 90.00
With the nearest neighbours (Å) after each atom.
Fractional coordinates of all 8 atoms:
Ta (0.0000, 0.0000, 0.0000)  4 Br 2.67, 4 Ni 2.67
Ta (0.5000, 0.5000, 0.5000)  4 Br 2.67, 4 Ni 2.67
Ni (0.0000, 0.0000, 0.5000)  4 Br 2.67, 4 Ni 2.67
Ni (0.0000, 0.5000, 0.7500)  4 Ta 2.67, 4 Ni 2.67
Ni (0.5000, 0.0000, 0.2500)  4 Ta 2.67, 4 Ni 2.67
Ni (0.5000, 0.5000, 0.0000)  4 Br 2.67, 4 Ni 2.67
Br (0.0000, 0.5000, 0.2500)  4 Ta 2.67, 4 Ni 2.67
Br (0.5000, 0.0000, 0.7500)  4 Ta 2.67, 4 Ni 2.67



# 2
A relaxed Zr6Zn5Au crystal, computed with PBE.

Computed properties:
Volume in Å³ per cell: 228.2
Space-group type: Immm
Formation enthalpy at 0 K in kcal/mol of atoms: -6.65

abc: 8.2521 8.2521 8.2521
angles: 146.36 132.29 59.64
With the nearest neighbours (Å) after each atom.
Fractional coordinates of all 12 atoms:
Zr (0.0781, 0.3312, 0.7468)  7 Zn 2.89-2.93, 1 Au 2.95
Zr (0.2435, 0.0000, 0.2435)  6 Zn 2.89-2.92, 2 Au 2.94
Zr (0.4156, 0.6688, 0.7468)  7 Zn 2.89-2.93, 1 Au 2.95
Zr (0.5844, 0.3312, 0.2532)  7 Zn 2.89-2.93, 1 Au 2.95
Zr (0.7565, 0.0000, 0.7565)  6 Zn 2.89-2.92, 2 Au 2.94
Zr (0.9219, 0.6688, 0.2532)  7 Zn 2.89-2.93, 1 Au 2.95
Zn (0.0000, 0.5000, 0.5000)  8 Zr 2.89-2.92
Zn (0.1675, 0.1675, 0.0000)  8 Zr 2.89-2.90
Zn (0.3352, 0.8352, 0.5000)  8 Zr 2.90-2.93
Zn (0.6648, 0.1648, 0.5000)  8 Zr 2.90-2.93
Zn (0.8325, 0.8325, 0.0000)  8 Zr 2.89-2.90
Au (0.5000, 0.5000, 0.0000)  8 Zr 2.94-2.95



# 3
A relaxed Zn2CoPt9 crystal, computed with PBE.

Computed properties:
Volume in Å³ per cell: 180.2
Space-group type: P4/mmm
Formation enthalpy at 0 K in kcal/mol of atoms: -5.77

abc: 3.9169 3.9169 11.7431
angles: 90.00 90.00 90.00
With the nearest neighbours (Å) after each atom.
Fractional coordinates of all 12 atoms:
Zn (0.0000, 0.0000, 0.1668)  12 Pt 2.77-2.80
Zn (0.0000, 0.0000, 0.8332)  12 Pt 2.77-2.80
Co (0.0000, 0.0000, 0.5000)  12 Pt 2.74-2.77
Pt (0.0000, 0.5000, 0.0000)  8 Pt 2.77-2.78, 4 Zn 2.77
Pt (0.0000, 0.5000, 0.3369)  2 Co 2.74, 8 Pt 2.74-2.79, 2 Zn 2.80
Pt (0.0000, 0.5000, 0.6631)  2 Co 2.74, 8 Pt 2.74-2.79, 2 Zn 2.80
Pt (0.5000, 0.0000, 0.0000)  8 Pt 2.77-2.78, 4 Zn 2.77
Pt (0.5000, 0.0000, 0.3369)  2 Co 2.74, 8 Pt 2.74-2.79, 2 Zn 2.80
Pt (0.5000, 0.0000, 0.6631)  2 Co 2.74, 8 Pt 2.74-2.79, 2 Zn 2.80
Pt (0.5000, 0.5000, 0.1682)  4 Zn 2.77, 8 Pt 2.78-2.79
Pt (0.5000, 0.5000, 0.5000)  8 Pt 2.74, 4 Co 2.77
Pt (0.5000, 0.5000, 0.8318)  4 Zn 2.77, 8 Pt 2.78-2.79



Q: Which of these has the highest volume?
A: Zr6Zn5Au



Q: Which of these has the lowest volume?
A: TaNi2Br



Q: What is the volume in the first record?
A: 116.7 Å³ per cell